(1)
Density functional theory data (GGA-PBE) for K2MnCuSe4 after structural relaxation.

Lattice parameters (Å, degrees): 5.7671 13.3660 23.1380 90.00 90.00 90.00
Space group Fddd (No. 70, origin choice 2)
Unique sites:
K1 0.1250 0.1250 0.3070 (multiplicity 16)
Mn1 0.1250 0.1250 0.1250 (multiplicity 8)
Cu1 0.1250 0.1250 0.6250 (multiplicity 8)
Se1 0.1058 0.2763 0.4317 (multiplicity 32)

Summary:
- crystal system = orthorhombic
- calculated volume (Å³ per cell) = 1784
- energy relative to the elements, uncorrected (eV/f.u.) = -5.67

(2)
Density functional theory data (GGA-PBE) for InBi3S after structural relaxation.

Lattice parameters (Å, degrees): 5.7375 5.7375 5.7375 90.00 90.00 90.00
Space group Pm-3m (No. 221)
Unique sites:
In1 0.0000 0.0000 0.0000 (multiplicity 1)
Bi1 0.0000 0.0000 0.5000 (multiplicity 3)
S1 0.5000 0.5000 0.5000 (multiplicity 1)

Summary:
- crystal system = cubic
- calculated volume (Å³ per cell) = 189
- energy relative to the elements, uncorrected (eV/f.u.) = 4.69

(3)
Density functional theory data (GGA-PBE) for Be5In3 after structural relaxation.

Lattice parameters (Å, degrees): 7.6528 7.9178 3.9602 90.00 90.00 90.00
Space group Cmmm (No. 65)
Unique sites:
Be1 0.0000 0.0000 0.0000 (multiplicity 2)
Be2 0.2484 0.0000 0.5000 (multiplicity 4)
Be3 0.2500 0.2500 0.0000 (multiplicity 4)
In1 0.0000 0.2200 0.5000 (multiplicity 4)
In2 0.0000 0.5000 0.0000 (multiplicity 2)

Summary:
- crystal system = orthorhombic
- calculated volume (Å³ per cell) = 240
- calculated formation energy (eV per atom) = 0.627

(4)
Density functional theory data (GGA-PBE) for TiClF3 after structural relaxation.

Lattice parameters (Å, degrees): 4.4044 4.4044 4.4044 90.00 90.00 90.00
Space group Pm-3m (No. 221)
Unique sites:
Ti1 0.0000 0.0000 0.0000 (multiplicity 1)
Cl1 0.5000 0.5000 0.5000 (multiplicity 1)
F1 0.0000 0.5000 0.5000 (multiplicity 3)

Summary:
- crystal system = cubic
- calculated volume (Å³ per cell) = 85
- energy relative to the elements, uncorrected (eV/f.u.) = -0.59

(5)
Density functional theory data (GGA-PBE) for Tb2Pm6Pr3In after structural relaxation.

Lattice parameters (Å, degrees): 6.2569 10.8775 11.9145 90.00 100.32 90.00
Space group C2/m (No. 12)
Unique sites:
Tb1 0.0000 0.1660 0.0000 (multiplicity 4)
Pm1 0.2427 0.3372 0.2421 (multiplicity 8)
Pm2 0.2450 0.5000 0.7558 (multiplicity 4)
Pr1 0.0000 0.0000 0.5000 (multiplicity 2)
Pr2 0.0000 0.3308 0.5000 (multiplicity 4)
In1 0.0000 0.5000 0.0000 (multiplicity 2)

Summary:
- crystal system = monoclinic
- calculated volume (Å³ per cell) = 798
- calculated formation energy (eV per atom) = -0.036

(6)
Density functional theory data (GGA-PBE) for RbInSiO4 after structural relaxation.

Lattice parameters (Å, degrees): 5.4455 5.7499 7.5972 90.00 107.95 90.00
Space group P2_1/m (No. 11)
Unique sites:
Rb1 0.1952 0.2500 0.4354 (multiplicity 2)
In1 0.2960 0.2500 0.9635 (multiplicity 2)
Si1 0.2445 0.7500 0.1476 (multiplicity 2)
O1 0.0390 0.7500 0.9379 (multiplicity 2)
O2 0.0664 0.7500 0.2868 (multiplicity 2)
O3 0.4546 0.5293 0.1705 (multiplicity 4)

Summary:
- crystal system = monoclinic
- calculated volume (Å³ per cell) = 226
- energy relative to the elements, uncorrected (eV/f.u.) = -14.71

(7)
Density functional theory data (GGA-PBE) for DyMgTlRu after structural relaxation.

Lattice parameters (Å, degrees): 6.9403 6.9403 6.9403 90.00 90.00 90.00
Space group F-43m (No. 216)
Unique sites:
Dy1 0.0000 0.0000 0.0000 (multiplicity 4)
Mg1 0.0000 0.0000 0.5000 (multiplicity 4)
Tl1 0.2500 0.2500 0.2500 (multiplicity 4)
Ru1 0.2500 0.2500 0.7500 (multiplicity 4)

Summary:
- crystal system = cubic
- calculated volume (Å³ per cell) = 334
- calculated formation energy (eV per atom) = -0.033

(8)
Density functional theory data (GGA-PBE) for Tl3H after structural relaxation.

Lattice parameters (Å, degrees): 3.4389 10.9098 5.4132 90.00 90.00 90.00
Space group Imm2 (No. 44)
Unique sites:
Tl1 0.0000 0.0000 0.0000 (multiplicity 2)
Tl2 0.0000 0.1889 0.5145 (multiplicity 4)
H1 0.0000 0.5000 0.7530 (multiplicity 2)

Summary:
- crystal system = orthorhombic
- calculated volume (Å³ per cell) = 203
- electronic total energy (eV per atom) = -2.36

(9)
Density functional theory data (GGA-PBE) for La6Pm2Tc after structural relaxation.

Lattice parameters (Å, degrees): 12.5621 8.2712 12.1474 90.00 95.52 90.00
Space group C2/c (No. 15)
Unique sites:
La1 0.0862 0.1855 0.1394 (multiplicity 8)
La2 0.1179 0.4738 0.8582 (multiplicity 8)
La3 0.1289 0.2435 0.5971 (multiplicity 8)
Pm1 0.1792 0.0492 0.8775 (multiplicity 8)
Tc1 0.0000 0.1589 0.7500 (multiplicity 4)

Summary:
- crystal system = monoclinic
- calculated volume (Å³ per cell) = 1256
- calculated formation energy (eV per atom) = 0.022

(10)
Density functional theory data (GGA-PBE) for LiCa2Mg3Cd12 after structural relaxation.

Lattice parameters (Å, degrees): 10.1485 10.1485 14.8625 90.00 90.00 120.00
Space group R-3m (No. 166, hexagonal axes)
Unique sites:
Li1 0.0000 0.0000 0.0000 (multiplicity 3)
Ca1 0.0000 0.0000 0.2949 (multiplicity 6)
Mg1 0.0000 0.5000 0.5000 (multiplicity 9)
Cd1 0.0207 0.5104 0.7067 (multiplicity 18)
Cd2 0.0270 0.5135 0.1007 (multiplicity 18)

Summary:
- crystal system = trigonal
- calculated volume (Å³ per cell) = 1326
- calculated formation energy (eV per atom) = -0.082

(11)
Density functional theory data (GGA-PBE) for Sc5Co3 after structural relaxation.

Lattice parameters (Å, degrees): 7.5956 7.5956 5.6950 90.00 90.00 120.00
Space group P6_3/mcm (No. 193)
Unique sites:
Sc1 0.0000 0.2567 0.2500 (multiplicity 6)
Sc2 0.3333 0.6667 0.0000 (multiplicity 4)
Co1 0.0000 0.3952 0.7500 (multiplicity 6)

Summary:
- crystal system = hexagonal
- calculated volume (Å³ per cell) = 285
- calculated formation energy (eV per atom) = -0.247

(12)
Density functional theory data (GGA-PBE) for TaRhN2 after structural relaxation.

Lattice parameters (Å, degrees): 5.4865 5.4865 5.4865 90.00 90.00 90.00
Space group Fm-3m (No. 225)
Unique sites:
Ta1 0.0000 0.0000 0.0000 (multiplicity 4)
Rh1 0.0000 0.0000 0.5000 (multiplicity 4)
N1 0.2500 0.2500 0.2500 (multiplicity 8)

Summary:
- crystal system = cubic
- calculated volume (Å³ per cell) = 165
- energy relative to the elements, uncorrected (eV/f.u.) = 1.42

(13)
Density functional theory data (GGA-PBE) for InTeSeN2 after structural relaxation.

Lattice parameters (Å, degrees): 3.9973 3.9973 6.9769 90.00 90.00 90.00
Space group P4/mmm (No. 123)
Unique sites:
In1 0.0000 0.0000 0.0000 (multiplicity 1)
Te1 0.5000 0.5000 0.0000 (multiplicity 1)
Se1 0.5000 0.5000 0.5000 (multiplicity 1)
N1 0.0000 0.5000 0.5000 (multiplicity 2)

Summary:
- crystal system = tetragonal
- calculated volume (Å³ per cell) = 111
- energy relative to the elements, uncorrected (eV/f.u.) = 7.29

(14)
Density functional theory data (GGA-PBE) for LaTbDyMg after structural relaxation.

Lattice parameters (Å, degrees): 3.7185 3.7185 8.9533 90.00 90.00 90.00
Space group P4mm (No. 99)
Unique sites:
La1 0.0000 0.0000 0.0000 (multiplicity 1)
Tb1 0.5000 0.5000 0.7182 (multiplicity 1)
Dy1 0.5000 0.5000 0.2801 (multiplicity 1)
Mg1 0.0000 0.0000 0.4979 (multiplicity 1)

Summary:
- crystal system = tetragonal
- calculated volume (Å³ per cell) = 124
- calculated formation energy (eV per atom) = -0.022

(15)
Density functional theory data (GGA-PBE) for BaNa2Pd9 after structural relaxation.

Lattice parameters (Å, degrees): 9.2286 9.2286 5.3422 90.00 90.00 90.00
Space group P4/mbm (No. 127)
Unique sites:
Ba1 0.0000 0.0000 0.0000 (multiplicity 2)
Na1 0.1152 0.3848 0.0000 (multiplicity 4)
Pd1 0.0000 0.5000 0.5000 (multiplicity 2)
Pd2 0.0605 0.2101 0.5000 (multiplicity 8)
Pd3 0.1811 0.6811 0.2472 (multiplicity 8)

Summary:
- crystal system = tetragonal
- calculated volume (Å³ per cell) = 455
- calculated formation energy (eV per atom) = -0.208

(16)
Density functional theory data (GGA-PBE) for CrAg2Pt after structural relaxation.

Lattice parameters (Å, degrees): 2.8881 2.8881 7.9113 90.00 90.00 90.00
Space group P4mm (No. 99)
Unique sites:
Cr1 0.0000 0.0000 0.0000 (multiplicity 1)
Ag1 0.0000 0.0000 0.4735 (multiplicity 1)
Ag2 0.5000 0.5000 0.7436 (multiplicity 1)
Pt1 0.5000 0.5000 0.2063 (multiplicity 1)

Summary:
- crystal system = tetragonal
- calculated volume (Å³ per cell) = 66
- calculated formation energy (eV per atom) = 0.095

(17)
Density functional theory data (GGA-PBE) for YIn3Co after structural relaxation.

Lattice parameters (Å, degrees): 5.8326 5.8326 5.8326 90.00 90.00 90.00
Space group Pm-3m (No. 221)
Unique sites:
Y1 0.0000 0.0000 0.0000 (multiplicity 1)
In1 0.0000 0.0000 0.5000 (multiplicity 3)
Co1 0.5000 0.5000 0.5000 (multiplicity 1)

Summary:
- crystal system = cubic
- calculated volume (Å³ per cell) = 198
- calculated formation energy (eV per atom) = 1.281

(18)
Density functional theory data (GGA-PBE) for Sr2CdHg5 after structural relaxation.

Lattice parameters (Å, degrees): 4.7257 18.5269 10.6447 90.00 90.00 90.00
Space group Cmcm (No. 63)
Unique sites:
Sr1 0.0000 0.0000 0.0000 (multiplicity 4)
Sr2 0.0000 0.2001 0.2500 (multiplicity 4)
Cd1 0.0000 0.4513 0.7500 (multiplicity 4)
Hg1 0.0000 0.1927 0.6061 (multiplicity 8)
Hg2 0.0000 0.3593 0.5345 (multiplicity 8)
Hg3 0.0000 0.3972 0.2500 (multiplicity 4)

Summary:
- crystal system = orthorhombic
- calculated volume (Å³ per cell) = 932
- calculated formation energy (eV per atom) = -0.349

(19)
Density functional theory data (GGA-PBE) for CsGa2SbH2 after structural relaxation.

Lattice parameters (Å, degrees): 7.4949 6.2317 7.7600 90.00 113.55 90.00
Space group P2_1/m (No. 11)
Unique sites:
Cs1 0.1839 0.2500 0.3298 (multiplicity 2)
Ga1 0.3228 0.9998 0.8045 (multiplicity 4)
Sb1 0.3396 0.7500 0.1139 (multiplicity 2)
H1 0.1764 0.2500 0.7452 (multiplicity 2)
H2 0.2975 0.7500 0.6669 (multiplicity 2)

Summary:
- crystal system = monoclinic
- calculated volume (Å³ per cell) = 332
- electronic total energy (eV per atom) = -3.01

(20)
Density functional theory data (GGA-PBE) for BeGe2Te after structural relaxation.

Lattice parameters (Å, degrees): 5.7232 5.7232 11.5921 90.00 90.00 90.00
Space group I-42d (No. 122)
Unique sites:
Be1 0.0000 0.0000 0.0000 (multiplicity 4)
Ge1 0.1703 0.2500 0.1250 (multiplicity 8)
Te1 0.0000 0.0000 0.5000 (multiplicity 4)

Summary:
- crystal system = tetragonal
- calculated volume (Å³ per cell) = 380
- energy relative to the elements, uncorrected (eV/f.u.) = 0.67